# 1
Here is crystalline TaRh2Br at its relaxed geometry from the Alexandria database. Energies are from PBEsol.

Cell lengths 4.125, 4.125, 7.444 Å; angles 90.00, 90.00, 90.00 degrees
Space group I4/mmm (No. 139)
Unique sites:
Ta 0.000 0.000 0.000 x2
Rh 0.000 0.500 0.250 x4
Br 0.000 0.000 0.500 x2

Output
- Theoretical density: 12.24 Mg/m³
- Total moment: 0.00 μB per formula unit
- Formation energy (no corrections): 129 kJ/mol of formula units

***

# 2
Here is crystalline La2MgO4 at its relaxed geometry from the Alexandria database. Energies are from PBEsol.

Cell lengths 5.477, 12.330, 5.609 Å; angles 90.00, 90.00, 90.00 degrees
Space group Cmce (No. 64)
Unique sites:
La 0.000 0.137 0.013 x8
Mg 0.000 0.000 0.500 x4
O 0.000 0.178 0.437 x8
O 0.250 0.016 0.750 x8

Output
- Theoretical density: 6.42 Mg/m³
- Total moment: 0.00 μB per formula unit
- Formation energy (no corrections): -2166 kJ/mol of formula units

***

# 3
Here is crystalline TlAgHg2 at its relaxed geometry from the Alexandria database. Energies are from PBEsol.

Cell lengths 3.2058, 3.2058, 29.9569 Å; angles 90.00, 90.00, 120.00 degrees
Space group R-3m (No. 166, hexagonal axes)
Unique sites:
Tl 0.0000 0.0000 0.0000 x3
Ag 0.0000 0.0000 0.5000 x3
Hg 0.0000 0.0000 0.2417 x6

Output
- Final energy: -1.712 eV per atom
- Theoretical density: 13.33 Mg/m³
- Total moment: 0.00 μB per formula unit

***

Repeat the third record exactly.
Here is crystalline TlAgHg2 at its relaxed geometry from the Alexandria database. Energies are from PBEsol.

Cell lengths 3.2058, 3.2058, 29.9569 Å; angles 90.00, 90.00, 120.00 degrees
Space group R-3m (No. 166, hexagonal axes)
Unique sites:
Tl 0.0000 0.0000 0.0000 x3
Ag 0.0000 0.0000 0.5000 x3
Hg 0.0000 0.0000 0.2417 x6

Output
- Final energy: -1.712 eV per atom
- Theoretical density: 13.33 Mg/m³
- Total moment: 0.00 μB per formula unit

***

Q: Which formula does entry 1 have?
A: TaRh2Br

***

Copy entry 2 word for word.
Here is crystalline La2MgO4 at its relaxed geometry from the Alexandria database. Energies are from PBEsol.

Cell lengths 5.477, 12.330, 5.609 Å; angles 90.00, 90.00, 90.00 degrees
Space group Cmce (No. 64)
Unique sites:
La 0.000 0.137 0.013 x8
Mg 0.000 0.000 0.500 x4
O 0.000 0.178 0.437 x8
O 0.250 0.016 0.750 x8

Output
- Theoretical density: 6.42 Mg/m³
- Total moment: 0.00 μB per formula unit
- Formation energy (no corrections): -2166 kJ/mol of formula units

***

Q: What is the theoretical density in the second record?
A: 6.42 Mg/m³